1.
This record from OQMD via LeMat-Bulk describes crystalline PrNd2Cd3Ga2Au at its relaxed geometry. The functional is PBE.

Geometry as POSCAR:
```
PrNd2Cd3Ga2Au
1.0
4.455 0.000 0.000
0.000 6.535 3.773
0.000 -6.535 3.773
Au Cd Ga Nd Pr
1 3 2 2 1
Direct
0.000 0.999 0.999 Au
0.500 0.999 0.251 Cd
0.500 0.749 0.749 Cd
0.500 0.251 0.999 Cd
0.500 0.668 0.333 Ga
0.500 0.333 0.668 Ga
0.000 0.588 0.000 Nd
0.000 0.000 0.588 Nd
0.000 0.412 0.412 Pr
```

---

2.
This record from OQMD via LeMat-Bulk describes crystalline NdY2Cd3Ga2Au at its relaxed geometry. The functional is PBE.

Geometry as POSCAR:
```
NdY2Cd3Ga2Au
1.0
4.380 0.000 0.000
0.000 6.442 3.701
0.000 -6.442 3.701
Au Cd Ga Nd Y
1 3 2 1 2
Direct
0.000 0.996 0.996 Au
0.500 0.998 0.253 Cd
0.500 0.748 0.748 Cd
0.500 0.253 0.998 Cd
0.500 0.669 0.332 Ga
0.500 0.332 0.669 Ga
0.000 0.414 0.414 Nd
0.000 0.588 0.001 Y
0.000 0.001 0.588 Y
```

---

3.
This record from OQMD via LeMat-Bulk describes crystalline Nd2YCd3Ga2Au at its relaxed geometry. The functional is PBE.

Geometry as POSCAR:
```
Nd2YCd3Ga2Au
1.0
4.409 0.000 0.000
0.000 6.453 3.739
0.000 -6.453 3.739
Au Cd Ga Nd Y
1 3 2 2 1
Direct
0.000 0.996 0.996 Au
0.500 0.254 0.254 Cd
0.500 0.998 0.747 Cd
0.500 0.747 0.998 Cd
0.500 0.666 0.337 Ga
0.500 0.337 0.666 Ga
0.000 0.413 0.001 Nd
0.000 0.001 0.413 Nd
0.000 0.589 0.589 Y
```

---

4.
This record from OQMD via LeMat-Bulk describes crystalline Pr3Cd2GaPdAu2 at its relaxed geometry. The functional is PBE.

Geometry as POSCAR:
```
Pr3Cd2GaPdAu2
1.0
4.033 0.000 0.000
0.000 6.847 3.915
0.000 -6.847 3.915
Au Cd Ga Pd Pr
2 2 1 1 3
Direct
0.000 0.663 0.330 Au
0.000 0.330 0.663 Au
0.000 0.994 0.753 Cd
0.000 0.753 0.994 Cd
0.000 0.243 0.243 Ga
0.500 0.031 0.031 Pd
0.500 0.403 0.003 Pr
0.500 0.003 0.403 Pr
0.500 0.580 0.580 Pr
```

---

5.
This record from OQMD via LeMat-Bulk describes crystalline Pr3CdGa2PdAu2 at its relaxed geometry. The functional is PBE.

Geometry as POSCAR:
```
Pr3CdGa2PdAu2
1.0
-0.492 0.455 -4.000
1.623 -7.442 -1.047
-7.309 2.094 1.138
Au Cd Ga Pd Pr
2 1 2 1 3
Direct
0.000 0.670 0.333 Au
0.000 0.333 0.670 Au
0.000 0.245 0.245 Cd
0.000 0.763 0.002 Ga
0.000 0.002 0.763 Ga
0.500 0.980 0.980 Pd
0.500 0.999 0.410 Pr
0.500 0.598 0.598 Pr
0.500 0.410 0.999 Pr
```

---

6.
This record from OQMD via LeMat-Bulk describes crystalline Pr3Cd3GaPtAu at its relaxed geometry. The functional is PBE.

Geometry as POSCAR:
```
Pr3Cd3GaPtAu
1.0
7.879 0.000 0.000
-3.940 6.824 0.000
0.000 0.000 4.071
Au Cd Ga Pr Pt
1 3 1 3 1
Direct
0.000 0.000 0.500 Au
0.003 0.260 0.000 Cd
0.740 0.744 0.000 Cd
0.256 0.997 0.000 Cd
0.333 0.667 0.000 Ga
0.600 0.016 0.500 Pr
0.416 0.400 0.500 Pr
0.984 0.584 0.500 Pr
0.667 0.333 0.000 Pt
```

---

Number 1: size of the total moment 0.00 μB/f.u., total energy -3.498 eV per atom, theoretical density 8.338 g/cm3. Number 2: size of the total moment 0.00 μB/f.u., total energy -3.889 eV per atom, theoretical density 7.916 g/cm3. Number 3: size of the total moment 0.01 μB/f.u., total energy -3.693 eV per atom, theoretical density 8.202 g/cm3. Number 4: size of the total moment 0.00 μB/f.u., total energy -4.127 eV per atom, theoretical density 9.349 g/cm3. Number 5: size of the total moment 0.00 μB/f.u., total energy -4.392 eV per atom, theoretical density 9.303 g/cm3. Number 6: size of the total moment 0.00 μB/f.u., total energy -3.926 eV per atom, theoretical density 9.268 g/cm3.